1.
Sr5Cd2Ga | Alexandria | GGA-PBE | optimized geometry; SG = Pbam; magnetic moment = 0.0 μB per formula unit; E = -1.900 eV/atom
1.0
7.477 0.000 0.000
0.000 14.185 0.000
0.000 0.000 5.605
Sr Cd Ga
10 4 2
direct
0.000 0.000 0.000
0.131 0.284 0.000
0.167 0.598 0.500
0.333 0.098 0.500
0.369 0.784 0.000
0.500 0.500 0.000
0.631 0.216 0.000
0.667 0.902 0.500
0.833 0.402 0.500
0.869 0.716 0.000
0.130 0.858 0.500
0.370 0.358 0.500
0.630 0.642 0.500
0.870 0.142 0.500
0.000 0.500 0.000
0.500 0.000 0.000

***

2.
Sr2Cd6Ga3 | Alexandria | GGA-PBE | optimized geometry; SG = P-62m; magnetic moment = 0.0 μB per formula unit; E = -1.899 eV/atom
1.0
8.405 0.000 0.000
-4.203 7.279 0.000
0.000 0.000 4.547
Sr Cd Ga
2 6 3
direct
0.333 0.667 0.000
0.667 0.333 0.000
0.000 0.295 0.500
0.000 0.799 0.000
0.201 0.201 0.000
0.295 0.000 0.500
0.705 0.705 0.500
0.799 0.000 0.000
0.000 0.622 0.500
0.378 0.378 0.500
0.622 0.000 0.500

***

3.
SrCd2Ga6 | Alexandria | GGA-PBE | optimized geometry; SG = P6/mmm; magnetic moment = 0.0 μB per formula unit; E = -2.486 eV/atom
1.0
8.038 0.000 0.000
-4.019 6.961 0.000
0.000 0.000 3.565
Sr Cd Ga
1 2 6
direct
0.000 0.000 0.000
0.333 0.667 0.000
0.667 0.333 0.000
0.000 0.343 0.500
0.000 0.657 0.500
0.343 0.000 0.500
0.343 0.343 0.500
0.657 0.000 0.500
0.657 0.657 0.500

***

4.
Sr2CdGa | Alexandria | GGA-PBE | optimized geometry; SG = Immm; magnetic moment = 0.0 μB per formula unit; E = -1.420 eV/atom
1.0
-1.926 3.266 6.628
1.926 -3.266 6.628
1.926 3.266 -6.628
Sr Cd Ga
2 1 1
direct
0.242 0.242 0.000
0.758 0.758 0.000
0.500 0.500 0.000
0.000 0.000 0.000

***

Number 1: ΔH_f (0 K) -0.242 eV per atom. Number 2: ΔH_f (0 K) -0.269 eV per atom. Number 3: ΔH_f (0 K) -0.078 eV per atom. Number 4: ΔH_f (0 K) 0.407 eV per atom.